The following is a PBE calculation of a geometry-optimized Li5Tc2H12 structure, from the Alexandria database.

Crystal system = monoclinic
Size of the total moment = 0.00 μB/f.u.
E = -3.92 eV per atom

Lattice parameters (Å, degrees): 5.8150 5.8216 5.8216 61.47 62.90 62.90
Atoms (fractional coordinates):
1 Li 0.0029 0.2528 0.2528
2 Li 0.9971 0.7472 0.7472
3 Li 0.4822 0.3032 0.3032
4 Li 0.5000 0.0000 0.0000
5 Li 0.5178 0.6968 0.6968
6 H 0.1677 0.8954 0.8954
7 H 0.2326 0.2933 0.8305
8 H 0.1537 0.5165 0.5165
9 H 0.2391 0.5191 0.0720
10 H 0.7674 0.7067 0.1695
11 H 0.8323 0.1046 0.1046
12 H 0.7674 0.1695 0.7067
13 H 0.7609 0.9280 0.4809
14 H 0.2326 0.8305 0.2933
15 H 0.8463 0.4835 0.4835
16 H 0.2391 0.0720 0.5191
17 H 0.7609 0.4809 0.9280
18 Tc 0.0000 0.7507 0.2493
19 Tc 0.0000 0.2493 0.7507